{"formula": "CoRh5", "functional": "meta-GGA SCAN", "state": "single point on PBEsol structure", "lattice": [[2.6494, 0.0000, 0.0000], [-1.3247, 2.2944, 0.0000], [0.0000, 0.0000, 12.8279]], "species": ["Co", "Rh", "Rh", "Rh", "Rh", "Rh"], "fractional_positions": [[0.0000, 0.0000, 0.0000], [0.0000, 0.0000, 0.5000], [0.3333, 0.6667, 0.1583], [0.3333, 0.6667, 0.6700], [0.6667, 0.3333, 0.3300], [0.6667, 0.3333, 0.8417]], "formation_energy_ev_per_atom": 0.03, "magmom_total_mub_per_cell": 2.54, "dos_ef_per_ev_atom": 1.087, "spacegroup": "No. 164"}

---

{"formula": "AlZn2Re", "functional": "meta-GGA SCAN", "state": "single point on PBEsol structure", "lattice": [[0.0000, 3.0352, 3.0352], [3.0352, 0.0000, 3.0352], [3.0352, 3.0352, 0.0000]], "species": ["Al", "Zn", "Zn", "Re"], "fractional_positions": [[0.0000, 0.0000, 0.0000], [0.2500, 0.2500, 0.2500], [0.5000, 0.5000, 0.5000], [0.7500, 0.7500, 0.7500]], "formation_energy_ev_per_atom": 0.17, "magmom_total_mub_per_cell": 0.00, "dos_ef_per_ev_atom": 0.401, "spacegroup": "No. 216"}

---

{"formula": "Li4MnNb2WO12", "functional": "meta-GGA SCAN", "state": "single point on PBEsol structure", "lattice": [[5.0679, 0.0000, 0.0000], [-0.0402, 5.4041, 0.0000], [-0.0010, -0.6457, 7.3714]], "species": ["Li", "Li", "Li", "Li", "Mn", "Nb", "Nb", "W", "O", "O", "O", "O", "O", "O", "O", "O", "O", "O", "O", "O"], "fractional_positions": [[0.0000, 0.0000, 0.0000], [0.0050, 0.9936, 0.4642], [0.4974, 0.5444, 0.9889], [0.5074, 0.6688, 0.3869], [0.0016, 0.5991, 0.1866], [0.0025, 0.5615, 0.6850], [0.5095, 0.1135, 0.2040], [0.5082, 0.0796, 0.7030], [0.1144, 0.6075, 0.9381], [0.1896, 0.2666, 0.6197], [0.1983, 0.8964, 0.2431], [0.3059, 0.4183, 0.2358], [0.3179, 0.7917, 0.6222], [0.3701, 0.0969, 0.9332], [0.6305, 0.0961, 0.4510], [0.6691, 0.4086, 0.7516], [0.7080, 0.7953, 0.1318], [0.8120, 0.3036, 0.1248], [0.8133, 0.9182, 0.7513], [0.8892, 0.6145, 0.4330]], "magmom_total_mub_per_cell": 2.98, "e_form_raw_ev_per_atom": -2.463, "dos_ef_per_ev_atom": 0.000, "spacegroup": "No. 1"}

---

{"formula": "LaYSi2", "functional": "meta-GGA SCAN", "state": "single point on PBEsol structure", "lattice": [[-1.8779, 2.2373, 5.4125], [1.8779, -2.2373, 5.4125], [1.8779, 2.2373, -5.4125]], "species": ["La", "Y", "Si", "Si"], "fractional_positions": [[0.0000, 0.0000, 0.0000], [0.2653, 0.7653, 0.5000], [0.5791, 0.5791, 0.0000], [0.7300, 0.2300, 0.5000]], "magmom_total_mub_per_cell": 0.00, "e_form_raw_ev_per_atom": -0.596, "dos_ef_per_ev_atom": 0.539, "spacegroup": "No. 44"}

---

{"formula": "CdCoOs2", "functional": "meta-GGA SCAN", "state": "single point on PBEsol structure", "lattice": [[4.4254, 0.0000, 0.0000], [0.0000, 4.4254, 0.0000], [0.0000, 0.0000, 2.9066]], "species": ["Cd", "Co", "Os", "Os"], "fractional_positions": [[0.0000, 0.0000, 0.0000], [0.5000, 0.5000, 0.0000], [0.0000, 0.5000, 0.5000], [0.5000, 0.0000, 0.5000]], "formation_energy_ev_per_atom": 0.90, "magmom_total_mub_per_cell": 3.46, "dos_ef_per_ev_atom": 0.771, "spacegroup": "No. 123"}

---

{"formula": "AlIn2CoB", "functional": "meta-GGA SCAN", "state": "single point on PBEsol structure", "lattice": [[4.7806, 0.0000, 0.0000], [0.0000, 4.7806, 0.0000], [0.0000, 0.0000, 4.4129]], "species": ["Al", "In", "In", "Co", "B"], "fractional_positions": [[0.0000, 0.0000, 0.0000], [0.0000, 0.5000, 0.5000], [0.5000, 0.0000, 0.5000], [0.0000, 0.0000, 0.5000], [0.5000, 0.5000, 0.0000]], "formation_energy_ev_per_atom": 0.91, "magmom_total_mub_per_cell": 0.00, "dos_ef_per_ev_atom": 0.497, "spacegroup": "No. 123"}

---

{"formula": "TcBr2Cl", "functional": "meta-GGA SCAN", "state": "single point on PBEsol structure", "lattice": [[-2.4498, 2.4498, 3.4581], [2.4498, -2.4498, 3.4581], [2.4498, 2.4498, -3.4581]], "species": ["Tc", "Br", "Br", "Cl"], "fractional_positions": [[0.0000, 0.0000, 0.0000], [0.5000, 0.5000, 0.0000], [0.7500, 0.2500, 0.5000], [0.2500, 0.7500, 0.5000]], "magmom_total_mub_per_cell": 4.00, "e_form_raw_ev_per_atom": 0.547, "dos_ef_per_ev_atom": 0.611, "spacegroup": "No. 119"}

---

{"formula": "Cd3SiSe", "functional": "meta-GGA SCAN", "state": "single point on PBEsol structure", "lattice": [[4.9709, 0.0000, 0.0000], [0.0000, 4.9709, 0.0000], [0.0000, 0.0000, 4.9709]], "species": ["Cd", "Cd", "Cd", "Si", "Se"], "fractional_positions": [[0.0000, 0.0000, 0.5000], [0.0000, 0.5000, 0.0000], [0.5000, 0.0000, 0.0000], [0.0000, 0.0000, 0.0000], [0.5000, 0.5000, 0.5000]], "magmom_total_mub_per_cell": 0.00, "e_form_raw_ev_per_atom": 0.221, "dos_ef_per_ev_atom": 0.688, "spacegroup": "No. 221"}

---

{"formula": "NiRh2Cl", "functional": "meta-GGA SCAN", "state": "single point on PBEsol structure", "lattice": [[1.4013, 0.8090, 7.8508], [-1.4013, 0.8090, 7.8508], [0.0000, -1.6181, 7.8508]], "species": ["Ni", "Rh", "Rh", "Cl"], "fractional_positions": [[0.0000, 0.0000, 0.0000], [0.2517, 0.2517, 0.2517], [0.7483, 0.7483, 0.7483], [0.5000, 0.5000, 0.5000]], "magmom_total_mub_per_cell": 0.89, "e_form_raw_ev_per_atom": 0.325, "dos_ef_per_ev_atom": 1.056, "spacegroup": "No. 166"}

---

{"formula": "GaTePtCl2", "functional": "meta-GGA SCAN", "state": "single point on PBEsol structure", "lattice": [[4.7127, 0.0000, 0.0000], [0.0000, 4.7127, 0.0000], [0.0000, 0.0000, 5.0901]], "species": ["Ga", "Te", "Pt", "Cl", "Cl"], "fractional_positions": [[0.0000, 0.0000, 0.0000], [0.5000, 0.5000, 0.0000], [0.0000, 0.0000, 0.5000], [0.0000, 0.5000, 0.5000], [0.5000, 0.0000, 0.5000]], "magmom_total_mub_per_cell": 1.01, "e_form_raw_ev_per_atom": 0.030, "dos_ef_per_ev_atom": 0.646, "spacegroup": "No. 123"}

---

{"formula": "BaLaTe4", "functional": "meta-GGA SCAN", "state": "single point on PBEsol structure", "lattice": [[0.0000, 4.5760, 4.5760], [4.5760, 0.0000, 4.5760], [4.5760, 4.5760, 0.0000]], "species": ["Ba", "La", "Te", "Te", "Te", "Te"], "fractional_positions": [[0.0000, 0.0000, 0.0000], [0.2500, 0.2500, 0.2500], [0.1264, 0.6245, 0.6245], [0.6245, 0.1264, 0.6245], [0.6245, 0.6245, 0.1264], [0.6245, 0.6245, 0.6245]], "magmom_total_mub_per_cell": 1.32, "e_form_raw_ev_per_atom": -0.492, "dos_ef_per_ev_atom": 0.789, "spacegroup": "No. 216"}

---

{"formula": "Bi2PPtSe", "functional": "meta-GGA SCAN", "state": "single point on PBEsol structure", "lattice": [[5.5259, 0.0000, 0.0000], [0.0000, 5.5259, 0.0000], [0.0000, 0.0000, 4.5063]], "species": ["Bi", "Bi", "P", "Pt", "Se"], "fractional_positions": [[0.0000, 0.5000, 0.0000], [0.5000, 0.0000, 0.0000], [0.0000, 0.0000, 0.5000], [0.5000, 0.5000, 0.5000], [0.5000, 0.5000, 0.0000]], "magmom_total_mub_per_cell": 0.00, "e_form_raw_ev_per_atom": 0.925, "dos_ef_per_ev_atom": 0.495, "spacegroup": "No. 123"}

---

{"formula": "CaFe2Os", "functional": "meta-GGA SCAN", "state": "single point on PBEsol structure", "lattice": [[4.5559, -1.3733, 0.0000], [4.5559, 1.3733, 0.0000], [-1.3242, 0.0000, 4.8487]], "species": ["Ca", "Fe", "Fe", "Os"], "fractional_positions": [[0.0000, 0.0000, 0.0000], [0.2207, 0.2207, 0.7141], [0.5126, 0.5126, 0.5012], [0.7797, 0.7797, 0.3550]], "formation_energy_ev_per_atom": 0.48, "magmom_total_mub_per_cell": 4.76, "dos_ef_per_ev_atom": 0.858, "spacegroup": "No. 8"}

---

{"formula": "Mg3MnNi3O8", "functional": "meta-GGA SCAN", "state": "single point on PBEsol structure", "lattice": [[2.9727, 1.7163, 4.6675], [-2.9727, 1.7163, 4.6675], [0.0000, -3.4326, 4.6675]], "species": ["Mg", "Mg", "Mg", "Mn", "Ni", "Ni", "Ni", "O", "O", "O", "O", "O", "O", "O", "O"], "fractional_positions": [[0.0000, 0.5000, 0.5000], [0.5000, 0.0000, 0.5000], [0.5000, 0.5000, 0.0000], [0.0000, 0.0000, 0.0000], [0.0000, 0.0000, 0.5000], [0.0000, 0.5000, 0.0000], [0.5000, 0.0000, 0.0000], [0.2281, 0.7701, 0.7701], [0.2299, 0.2299, 0.7719], [0.2299, 0.7719, 0.2299], [0.2504, 0.2504, 0.2504], [0.7496, 0.7496, 0.7496], [0.7701, 0.2281, 0.7701], [0.7701, 0.7701, 0.2281], [0.7719, 0.2299, 0.2299]], "magmom_total_mub_per_cell": 8.96, "e_form_raw_ev_per_atom": -2.181, "dos_ef_per_ev_atom": 0.000, "spacegroup": "No. 166"}

---

{"formula": "PPtCl", "functional": "meta-GGA SCAN", "state": "single point on PBEsol structure", "lattice": [[-1.5107, 1.5107, 5.7269], [1.5107, -1.5107, 5.7269], [1.5107, 1.5107, -5.7269]], "species": ["P", "Pt", "Cl"], "fractional_positions": [[0.0000, 0.0000, 0.0000], [0.6092, 0.6092, 0.0000], [0.2694, 0.2694, 0.0000]], "magmom_total_mub_per_cell": 0.00, "e_form_raw_ev_per_atom": 0.046, "dos_ef_per_ev_atom": 0.124, "spacegroup": "No. 107"}

---

{"formula": "SrPb2W", "functional": "meta-GGA SCAN", "state": "single point on PBEsol structure", "lattice": [[1.9456, -2.3717, 0.0000], [1.9456, 2.3717, 0.0000], [0.0000, 0.0000, 11.4302]], "species": ["Sr", "Pb", "Pb", "W"], "fractional_positions": [[0.0000, 0.0000, 0.0000], [0.0000, 0.0000, 0.4198], [0.5000, 0.5000, 0.7336], [0.5000, 0.5000, 0.2202]], "formation_energy_ev_per_atom": 0.77, "magmom_total_mub_per_cell": 0.00, "dos_ef_per_ev_atom": 0.696, "spacegroup": "No. 35"}

---

{"formula": "AgPI2N", "functional": "meta-GGA SCAN", "state": "single point on PBEsol structure", "lattice": [[5.7667, 0.0000, 0.0000], [0.0000, 5.7667, 0.0000], [0.0000, 0.0000, 3.3395]], "species": ["Ag", "P", "I", "I", "N"], "fractional_positions": [[0.0000, 0.0000, 0.0000], [0.5000, 0.5000, 0.5000], [0.0000, 0.5000, 0.5000], [0.5000, 0.0000, 0.5000], [0.5000, 0.5000, 0.0000]], "magmom_total_mub_per_cell": 0.00, "e_form_raw_ev_per_atom": 0.564, "dos_ef_per_ev_atom": 0.456, "spacegroup": "No. 123"}

---

{"formula": "SrSc2CoO", "functional": "meta-GGA SCAN", "state": "single point on PBEsol structure", "lattice": [[5.1778, 0.0000, 0.0000], [0.0000, 5.1778, 0.0000], [0.0000, 0.0000, 4.1952]], "species": ["Sr", "Sc", "Sc", "Co", "O"], "fractional_positions": [[0.0000, 0.0000, 0.0000], [0.0000, 0.5000, 0.0000], [0.5000, 0.0000, 0.0000], [0.0000, 0.0000, 0.5000], [0.5000, 0.5000, 0.5000]], "magmom_total_mub_per_cell": 2.13, "e_form_raw_ev_per_atom": 1.940, "dos_ef_per_ev_atom": 0.917, "spacegroup": "No. 123"}

---

{"formula": "LaP4Pb", "functional": "meta-GGA SCAN", "state": "single point on PBEsol structure", "lattice": [[0.0000, 3.8569, 3.8569], [3.8569, 0.0000, 3.8569], [3.8569, 3.8569, 0.0000]], "species": ["La", "P", "P", "P", "P", "Pb"], "fractional_positions": [[0.0000, 0.0000, 0.0000], [0.3856, 0.3856, 0.3856], [0.3856, 0.3856, 0.8431], [0.3856, 0.8431, 0.3856], [0.8431, 0.3856, 0.3856], [0.7500, 0.7500, 0.7500]], "formation_energy_ev_per_atom": -0.06, "magmom_total_mub_per_cell": 0.00, "dos_ef_per_ev_atom": 0.436, "spacegroup": "No. 216"}

---

{"formula": "LiCa2Mo", "functional": "meta-GGA SCAN", "state": "single point on PBEsol structure", "lattice": [[4.9707, -1.4803, 0.0000], [4.9707, 1.4803, 0.0000], [-0.7260, 0.0000, 6.4252]], "species": ["Li", "Ca", "Ca", "Mo"], "fractional_positions": [[0.0000, 0.0000, 0.0000], [0.2409, 0.2409, 0.7302], [0.7591, 0.7591, 0.2698], [0.5000, 0.5000, 0.5000]], "formation_energy_ev_per_atom": 0.81, "magmom_total_mub_per_cell": 1.39, "dos_ef_per_ev_atom": 0.797, "spacegroup": "No. 12"}

---

{"formula": "ScSi4W", "functional": "meta-GGA SCAN", "state": "single point on PBEsol structure", "lattice": [[0.0000, 3.4647, 3.4647], [3.4647, 0.0000, 3.4647], [3.4647, 3.4647, 0.0000]], "species": ["Sc", "Si", "Si", "Si", "Si", "W"], "fractional_positions": [[0.0000, 0.0000, 0.0000], [0.1262, 0.6246, 0.6246], [0.6246, 0.1262, 0.6246], [0.6246, 0.6246, 0.1262], [0.6246, 0.6246, 0.6246], [0.2500, 0.2500, 0.2500]], "magmom_total_mub_per_cell": 0.00, "e_form_raw_ev_per_atom": 0.270, "dos_ef_per_ev_atom": 0.717, "spacegroup": "No. 216"}

---

{"formula": "ZnCdBr2", "functional": "meta-GGA SCAN", "state": "single point on PBEsol structure", "lattice": [[3.1848, -1.8353, 0.0000], [3.1848, 1.8353, 0.0000], [-2.1194, 0.0000, 8.4905]], "species": ["Zn", "Cd", "Br", "Br"], "fractional_positions": [[0.0000, 0.0000, 0.0000], [0.2590, 0.2590, 0.7723], [0.5230, 0.5230, 0.5651], [0.7249, 0.7249, 0.1744]], "magmom_total_mub_per_cell": 0.00, "e_form_raw_ev_per_atom": -0.558, "dos_ef_per_ev_atom": 0.006, "spacegroup": "No. 8"}

---

{"formula": "NaVPO4F", "functional": "meta-GGA SCAN", "state": "single point on PBEsol structure", "lattice": [[12.6003, 0.0000, 0.0000], [0.0000, 6.2191, 0.0000], [0.0000, 0.0000, 10.5559]], "species": ["Na", "Na", "Na", "Na", "Na", "Na", "Na", "Na", "V", "V", "V", "V", "V", "V", "V", "V", "P", "P", "P", "P", "P", "P", "P", "P", "O", "O", "O", "O", "O", "O", "O", "O", "O", "O", "O", "O", "O", "O", "O", "O", "O", "O", "O", "O", "O", "O", "O", "O", "O", "O", "O", "O", "O", "O", "O", "O", "F", "F", "F", "F", "F", "F", "F", "F"], "fractional_positions": [[0.0985, 0.2490, 0.0000], [0.1510, 0.7136, 0.7010], [0.3490, 0.2136, 0.2010], [0.4015, 0.7490, 0.5000], [0.5985, 0.2510, 0.0000], [0.6510, 0.7864, 0.7010], [0.8490, 0.2864, 0.2010], [0.9015, 0.7510, 0.5000], [0.1150, 0.9824, 0.4332], [0.2315, 0.7362, 0.1666], [0.2685, 0.2362, 0.6666], [0.3850, 0.4824, 0.9332], [0.6150, 0.5176, 0.4332], [0.7315, 0.7638, 0.1666], [0.7685, 0.2638, 0.6666], [0.8850, 0.0176, 0.9332], [0.0170, 0.1745, 0.6904], [0.1872, 0.4803, 0.4258], [0.3128, 0.9803, 0.9258], [0.4830, 0.6745, 0.1904], [0.5170, 0.3255, 0.6904], [0.6872, 0.0197, 0.4258], [0.8128, 0.5197, 0.9258], [0.9830, 0.8255, 0.1904], [0.0064, 0.0681, 0.8235], [0.0303, 0.9857, 0.5947], [0.0788, 0.6824, 0.1565], [0.1125, 0.2874, 0.4159], [0.1168, 0.3186, 0.6926], [0.1185, 0.6742, 0.4653], [0.2261, 0.9510, 0.0294], [0.2469, 0.5174, 0.2995], [0.2531, 0.0174, 0.7995], [0.2739, 0.4510, 0.5294], [0.3815, 0.1742, 0.9653], [0.3832, 0.8186, 0.1926], [0.3875, 0.7874, 0.9159], [0.4212, 0.1824, 0.6565], [0.4697, 0.4857, 0.0947], [0.4936, 0.5681, 0.3235], [0.5064, 0.4319, 0.8235], [0.5303, 0.5143, 0.5947], [0.5788, 0.8176, 0.1565], [0.6125, 0.2126, 0.4159], [0.6168, 0.1814, 0.6926], [0.6185, 0.8258, 0.4653], [0.7261, 0.5490, 0.0294], [0.7469, 0.9826, 0.2995], [0.7531, 0.4826, 0.7995], [0.7739, 0.0490, 0.5294], [0.8815, 0.3258, 0.9653], [0.8832, 0.6814, 0.1926], [0.8875, 0.7126, 0.9159], [0.9212, 0.3176, 0.6565], [0.9697, 0.0143, 0.0947], [0.9936, 0.9319, 0.3235], [0.2119, 0.9769, 0.2864], [0.2474, 0.9947, 0.5416], [0.2526, 0.4947, 0.0416], [0.2881, 0.4769, 0.7864], [0.7119, 0.5231, 0.2864], [0.7474, 0.5053, 0.5416], [0.7526, 0.0053, 0.0416], [0.7881, 0.0231, 0.7864]], "magmom_total_mub_per_cell": 16.00, "e_form_raw_ev_per_atom": -2.712, "spacegroup": "No. 33"}